A plane-wave DFT calculation with PBE-GGA was carried out for a relaxed CrCuRuPt crystal.

```
data_CrCuRuPt
_chemical_formula_sum 'Cr4 Cu4 Ru4 Pt4'
_cell_length_a 6.0200
_cell_length_b 6.0200
_cell_length_c 6.0200
_cell_angle_alpha 90.00
_cell_angle_beta 90.00
_cell_angle_gamma 90.00
_symmetry_space_group_name_H-M 'F -4 3 m'
_symmetry_Int_Tables_number 216
_symmetry_space_group_name_Hall 'F -4 2 3'
loop_
_atom_site_label
_atom_site_type_symbol
_atom_site_fract_x
_atom_site_fract_y
_atom_site_fract_z
Cr1 Cr 0.0000 0.0000 0.0000
Cu1 Cu 0.0000 0.0000 0.5000
Ru1 Ru 0.2500 0.2500 0.7500
Pt1 Pt 0.2500 0.2500 0.2500
```

Density of states at the Fermi level: 1.260 states/eV/atom
Calculated formation energy: 43 meV/atom
Mass density: 12.534 g/cm³
Size of the total moment: 1.44 μB/f.u.